Entry 1:
# AcPmPr2Dy | Alexandria via LeMat-Bulk | GGA-PBE | optimized geometry
# ΔH_f (0 K) ... 0.34 eV per atom
data_AcPmPr2Dy
_symmetry_space_group_name_H-M 'P 1'
_symmetry_Int_Tables_number 1
_cell_length_a 7.461
_cell_length_b 8.395
_cell_length_c 7.449
_cell_angle_alpha 124.30
_cell_angle_beta 90.00
_cell_angle_gamma 90.00
loop_
_symmetry_equiv_pos_as_xyz
'x,y,z'
loop_
_atom_site_label
_atom_site_type_symbol
_atom_site_fract_x
_atom_site_fract_y
_atom_site_fract_z
_atom_site_occupancy
Dy1 Dy 0.750 0.694 0.389 1
Dy2 Dy 0.250 0.306 0.611 1
Ac1 Ac 0.750 0.242 0.483 1
Ac2 Ac 0.250 0.758 0.517 1
Pm1 Pm 0.250 0.057 0.115 1
Pm2 Pm 0.750 0.943 0.885 1
Pr1 Pr 0.500 0.697 0.000 1
Pr2 Pr 0.000 0.303 0.000 1
Pr3 Pr 0.000 0.697 0.000 1
Pr4 Pr 0.500 0.303 0.000 1

***

Entry 2:
# Nd3Ho2Er3 | Alexandria via LeMat-Bulk | GGA-PBE | optimized geometry
# E above lowest polymorph ... 0.000 eV per atom
# ΔH_f (0 K) ... 0.02 eV per atom
data_Nd3Ho2Er3
_symmetry_space_group_name_H-M 'P 1'
_symmetry_Int_Tables_number 1
_cell_length_a 5.043
_cell_length_b 5.068
_cell_length_c 10.740
_cell_angle_alpha 103.65
_cell_angle_beta 103.58
_cell_angle_gamma 90.00
loop_
_symmetry_equiv_pos_as_xyz
'x,y,z'
loop_
_atom_site_label
_atom_site_type_symbol
_atom_site_fract_x
_atom_site_fract_y
_atom_site_fract_z
_atom_site_occupancy
Er1 Er 0.373 0.373 0.747 1
Er2 Er 0.627 0.627 0.253 1
Er3 Er 0.500 0.000 0.000 1
Nd1 Nd 0.875 0.875 0.750 1
Nd2 Nd 0.125 0.125 0.250 1
Nd3 Nd 0.000 0.500 0.000 1
Ho1 Ho 0.249 0.749 0.499 1
Ho2 Ho 0.751 0.251 0.501 1

***

Entry 3:
# ReRuSe2 | Alexandria via LeMat-Bulk | GGA-PBE | optimized geometry
# ΔE_f (raw) ... 700 meV/atom
# E above lowest polymorph ... 0.656 eV per atom
data_ReRuSe2
_symmetry_space_group_name_H-M 'P 1'
_symmetry_Int_Tables_number 1
_cell_length_a 4.140
_cell_length_b 2.692
_cell_length_c 6.683
_cell_angle_alpha 113.90
_cell_angle_beta 90.00
_cell_angle_gamma 90.00
loop_
_symmetry_equiv_pos_as_xyz
'x,y,z'
loop_
_atom_site_label
_atom_site_type_symbol
_atom_site_fract_x
_atom_site_fract_y
_atom_site_fract_z
_atom_site_occupancy
Re1 Re 0.500 0.250 0.250 1
Se1 Se 0.000 0.007 0.997 1
Se2 Se 0.000 0.493 0.503 1
Ru1 Ru 0.500 0.750 0.750 1